## RbVPHO6 (PBE with a Hubbard U)

Data for a relaxed RbVPHO6 crystal.

Fermi-level density of states	0.00	states/eV/f.u.
symmetry	No. 61
total energy	-6.6626	eV/atom
crystal system	orthorhombic

a b c (Å): 6.8239 9.6051 17.9780
angles (deg): 90.00 90.00 90.00
Closest atoms and distances in Å follow each position.
Positions (direct):
Rb: 0.2376 0.1773 0.1029  8 O 2.98-3.32
Rb: 0.2376 0.3227 0.6029  8 O 2.98-3.32
Rb: 0.2624 0.6773 0.1029  8 O 2.98-3.32
Rb: 0.2624 0.8227 0.6029  8 O 2.98-3.32
Rb: 0.7376 0.1773 0.3971  8 O 2.98-3.32
Rb: 0.7376 0.3227 0.8971  8 O 2.98-3.32
Rb: 0.7624 0.6773 0.3971  8 O 2.98-3.32
Rb: 0.7624 0.8227 0.8971  8 O 2.98-3.32
V: 0.0183 0.5591 0.7561  2 O 1.63-1.79
V: 0.0183 0.9409 0.2561  2 O 1.63-1.79
V: 0.4817 0.0591 0.7561  2 O 1.63-1.79
V: 0.4817 0.4409 0.2561  2 O 1.63-1.79
V: 0.5183 0.5591 0.7439  2 O 1.63-1.79
V: 0.5183 0.9409 0.2439  2 O 1.63-1.79
V: 0.9817 0.0591 0.7439  2 O 1.63-1.79
V: 0.9817 0.4409 0.2439  2 O 1.63-1.79
P: 0.2129 0.1156 0.9012  4 O 1.51-1.58
P: 0.2129 0.3844 0.4012  4 O 1.51-1.58
P: 0.2871 0.6156 0.9012  4 O 1.51-1.58
P: 0.2871 0.8844 0.4012  4 O 1.51-1.58
P: 0.7129 0.1156 0.5988  4 O 1.51-1.58
P: 0.7129 0.3844 0.0988  4 O 1.51-1.58
P: 0.7871 0.6156 0.5988  4 O 1.51-1.58
P: 0.7871 0.8844 0.0988  4 O 1.51-1.58
H: 0.2235 0.1000 0.4478  1 O 1.03
H: 0.2235 0.4000 0.9478  1 O 1.03
H: 0.2765 0.6000 0.4478  1 O 1.03
H: 0.2765 0.9000 0.9478  1 O 1.03
H: 0.7235 0.1000 0.0522  1 O 1.03
H: 0.7235 0.4000 0.5522  1 O 1.03
H: 0.7765 0.6000 0.0522  1 O 1.03
H: 0.7765 0.9000 0.5522  1 O 1.03
O: 0.0254 0.1087 0.2687  1 V 1.63
O: 0.0254 0.3913 0.7687  1 V 1.63
O: 0.0402 0.0662 0.8510  1 P 1.56
O: 0.0402 0.4338 0.3510  1 P 1.56
O: 0.0946 0.6276 0.8545  1 P 1.56
O: 0.0946 0.8724 0.3545  1 P 1.56
O: 0.1642 0.2488 0.9422  1 H 1.51, 1 P 1.51
O: 0.1642 0.2512 0.4422  1 H 1.51, 1 P 1.51
O: 0.2284 0.1137 0.7253  2 V 1.79-1.89
O: 0.2284 0.3863 0.2253  2 V 1.79-1.89
O: 0.2439 0.0008 0.9631  1 H 1.03
O: 0.2439 0.4992 0.4631  1 H 1.03
O: 0.2561 0.5008 0.9631  1 H 1.03
O: 0.2561 0.9992 0.4631  1 H 1.03
O: 0.2716 0.6137 0.7253  2 V 1.79-1.89
O: 0.2716 0.8863 0.2253  2 V 1.79-1.89
O: 0.3358 0.7488 0.9422  1 H 1.51, 1 P 1.51
O: 0.3358 0.7512 0.4422  1 H 1.51, 1 P 1.51
O: 0.4054 0.1276 0.8545  1 P 1.56
O: 0.4054 0.3724 0.3545  1 P 1.56
O: 0.4598 0.5662 0.8510  1 P 1.56
O: 0.4598 0.9338 0.3510  1 P 1.56
O: 0.4746 0.6087 0.2687  1 V 1.63
O: 0.4746 0.8913 0.7687  1 V 1.63
O: 0.5254 0.1087 0.2313  1 V 1.63
O: 0.5254 0.3913 0.7313  1 V 1.63
O: 0.5402 0.0662 0.6490  1 P 1.56
O: 0.5402 0.4338 0.1490  1 P 1.56
O: 0.5946 0.6276 0.6455  1 P 1.56
O: 0.5946 0.8724 0.1455  1 P 1.56
O: 0.6642 0.2488 0.5578  1 H 1.51, 1 P 1.51
O: 0.6642 0.2512 0.0578  1 H 1.51, 1 P 1.51
O: 0.7284 0.1137 0.7747  2 V 1.79-1.89
O: 0.7284 0.3863 0.2747  2 V 1.79-1.89
O: 0.7439 0.0008 0.5369  1 H 1.03
O: 0.7439 0.4992 0.0369  1 H 1.03
O: 0.7561 0.5008 0.5369  1 H 1.03
O: 0.7561 0.9992 0.0369  1 H 1.03
O: 0.7716 0.6137 0.7747  2 V 1.79-1.89
O: 0.7716 0.8863 0.2747  2 V 1.79-1.89
O: 0.8358 0.7488 0.5578  1 H 1.51, 1 P 1.51
O: 0.8358 0.7512 0.0578  1 H 1.51, 1 P 1.51
O: 0.9054 0.1276 0.6455  1 P 1.56
O: 0.9054 0.3724 0.1455  1 P 1.56
O: 0.9598 0.5662 0.6490  1 P 1.56
O: 0.9598 0.9338 0.1490  1 P 1.56
O: 0.9746 0.6087 0.2313  1 V 1.63
O: 0.9746 0.8913 0.7313  1 V 1.63